A plane-wave DFT calculation with PBE was carried out for a relaxed ScCd6Ag8 crystal.

Properties
crystal system	trigonal
E	-2.3114	eV/atom
energy of formation from the pure elements	-3	meV per atom
calculated volume	21.6	A^3/atom
SG	No. 148
energy relative to the lowest polymorph listed for this composition	1.4	kJ per mole of atoms

Unit cell a=8.070 b=8.070 c=7.395 alpha=56.94 beta=56.94 gamma=60.00
Atoms (fractional coordinates):
1 Sc 0.000 0.000 0.000
2 Cd 0.412 0.044 0.848
3 Cd 0.956 0.303 0.152
4 Cd 0.303 0.588 0.152
5 Cd 0.697 0.412 0.848
6 Cd 0.044 0.697 0.848
7 Cd 0.588 0.956 0.152
8 Ag 0.577 0.207 0.348
9 Ag 0.793 0.132 0.652
10 Ag 0.132 0.423 0.652
11 Ag 0.814 0.814 0.559
12 Ag 0.186 0.186 0.441
13 Ag 0.868 0.577 0.348
14 Ag 0.207 0.868 0.348
15 Ag 0.423 0.793 0.652

A plane-wave DFT calculation with PBE was carried out for a relaxed ScCdAg crystal.

Properties
crystal system	orthorhombic
E	-3.5874	eV/atom
energy of formation from the pure elements	-221	meV per atom
calculated volume	20.3	A^3/atom
SG	No. 44

Unit cell a=5.271 b=5.271 c=5.271 alpha=142.92 beta=136.00 gamma=58.86
Atoms (fractional coordinates):
1 Sc 0.335 0.335 0.000
2 Ag 0.001 0.001 0.000
3 Cd 0.664 0.664 0.000